Record 1
Computed, not measured: a relaxed SrCd3O4 crystal at the PBE-GGA level of DFT.

a = 4.8444 Å, b = 4.8514 Å, c = 4.8480 Å
α = 90.00°, β = 90.00°, γ = 90.00°
Last column: nearest neighbours and their distance in Å.
Atoms (fractional coordinates):
Cd 0.0000 0.5000 0.9996  6 O 2.42-2.43
Cd 0.0000 0.0000 0.5005  6 O 2.42-2.43
Cd 0.5000 0.5000 0.5003  6 O 2.41-2.44
O 0.5000 0.5000 0.9978  4 Cd 2.41-2.44, 2 Sr 2.43
O 0.0000 0.0000 0.0016  4 Cd 2.42-2.43, 2 Sr 2.42
O 0.0000 0.5000 0.4985  6 Cd 2.42-2.43
O 0.5000 0.0000 0.5010  4 Cd 2.42-2.43, 2 Sr 2.42
Sr 0.5000 0.0000 0.0008  6 O 2.42-2.43

Output
The space group is Pmm2. Its final energy is -35.61 eV for the cell shown.

***

Record 2
Computed, not measured: a relaxed Sr3Ta2CdO9 crystal at the PBE-GGA level of DFT.

a = 5.8068 Å, b = 5.8068 Å, c = 7.1910 Å
α = 90.00°, β = 90.00°, γ = 120.00°
Last column: nearest neighbours and their distance in Å.
Atoms (fractional coordinates):
O 0.5000 0.0000 0.0000  2 Ta 2.07
O 0.3486 0.1743 0.6852  1 Ta 1.92
O 0.8257 0.6514 0.6852  1 Ta 1.92
O 0.6514 0.8257 0.3148  1 Ta 1.92
O 0.5000 0.5000 0.0000  2 Ta 2.07
O 0.1743 0.3486 0.3148  1 Ta 1.92
O 0.8257 0.1743 0.6852  1 Ta 1.92
O 0.0000 0.5000 0.0000  2 Ta 2.07
O 0.1743 0.8257 0.3148  1 Ta 1.92
Sr 0.3333 0.6667 0.6630  12 O 2.91-2.97
Sr 0.0000 0.0000 0.0000  12 O 2.86-2.90
Sr 0.6667 0.3333 0.3370  12 O 2.91-2.97
Ta 0.6667 0.3333 0.8321  6 O 1.92-2.07
Ta 0.3333 0.6667 0.1679  6 O 1.92-2.07
Cd 0.0000 0.0000 0.5000  6 O 2.20

Output
The space group is P-3m1. Its final energy is -115.06 eV for the cell shown.

***

Record 3
Computed, not measured: a relaxed SrCdTeO crystal at the PBE-GGA level of DFT.

a = 7.6292 Å, b = 7.6292 Å, c = 6.6907 Å
α = 90.00°, β = 90.00°, γ = 32.88°
Last column: nearest neighbours and their distance in Å.
Atoms (fractional coordinates):
Sr 0.3455 0.3455 0.9991  2 O 2.44
Sr 0.6545 0.6545 0.4991  2 O 2.44
Te 0.3423 0.3423 0.5056  2 Cd 2.87
Te 0.6577 0.6577 0.0056  2 Cd 2.87
O 0.0782 0.0782 0.5309  2 Cd 2.18-2.23, 2 Sr 2.44
O 0.9218 0.9218 0.0309  2 Cd 2.18-2.23, 2 Sr 2.44
Cd 0.9521 0.9521 0.3570  2 O 2.18-2.23
Cd 0.0480 0.0480 0.8570  2 O 2.18-2.23

Output
The space group is Cmc2_1. Its final energy is -33.27 eV for the cell shown.

***

Record 4
Computed, not measured: a relaxed SrCdTeO crystal at the PBE-GGA level of DFT.

a = 4.2653 Å, b = 6.3155 Å, c = 7.5305 Å
α = 90.00°, β = 73.55°, γ = 90.00°
Last column: nearest neighbours and their distance in Å.
Atoms (fractional coordinates):
Cd 0.8935 0.2500 0.2129  2 O 2.20
Cd 0.1065 0.7500 0.7871  2 O 2.20
Te 0.2797 0.2500 0.4406  2 Cd 2.69
Te 0.7203 0.7500 0.5594  2 Cd 2.69
O 0.0000 0.5000 0.0000  2 Cd 2.20
O 0.0000 0.0000 0.0000  2 Cd 2.20
Sr 0.4160 0.7500 0.1680  4 O 2.92
Sr 0.5840 0.2500 0.8320  4 O 2.92

Output
The space group is Cmcm. Its final energy is -31.64 eV for the cell shown.

***

Record 5
Computed, not measured: a relaxed SrCdTeO crystal at the PBE-GGA level of DFT.

a = 6.8748 Å, b = 8.2607 Å, c = 6.8262 Å
α = 90.00°, β = 90.00°, γ = 90.00°
Last column: nearest neighbours and their distance in Å.
Atoms (fractional coordinates):
Sr 0.2481 0.0230 0.3817  4 O 2.50-2.54
Sr 0.2519 0.0230 0.8817  4 O 2.50-2.54
Sr 0.7519 0.9770 0.8817  4 O 2.50-2.54
Sr 0.7481 0.9770 0.3817  4 O 2.50-2.54
O 0.5087 0.0826 0.6323  1 Cd 2.21
O 0.9913 0.0826 0.1323  1 Cd 2.21
O 0.0087 0.9174 0.6323  1 Cd 2.21
O 0.4913 0.9174 0.1323  1 Cd 2.21
Te 0.4923 0.6693 0.6483  3 Cd 2.78-3.03
Te 0.0077 0.6693 0.1483  3 Cd 2.78-3.03
Te 0.5077 0.3307 0.1483  3 Cd 2.78-3.03
Te 0.9923 0.3307 0.6483  3 Cd 2.78-3.03
Cd 0.5690 0.3425 0.5877  1 O 2.21
Cd 0.4310 0.6575 0.0877  1 O 2.21
Cd 0.0690 0.6575 0.5877  1 O 2.21
Cd 0.9310 0.3425 0.0877  1 O 2.21

Output
The space group is Pca2_1. Its final energy is -66.81 eV for the cell shown.

***

Record 6
Computed, not measured: a relaxed SrCdTeO crystal at the PBE-GGA level of DFT.

a = 6.6790 Å, b = 9.9016 Å, c = 6.4953 Å
α = 90.00°, β = 90.00°, γ = 90.00°
Last column: nearest neighbours and their distance in Å.
Atoms (fractional coordinates):
Te 0.0111 0.6611 0.0808  1 Cd 2.89
Te 0.4889 0.6611 0.5808  1 Cd 2.89
Te 0.9889 0.3389 0.5808  1 Cd 2.89
Te 0.5111 0.3389 0.0808  1 Cd 2.89
Cd 0.6073 0.9321 0.4690  3 O 2.19-2.27
Cd 0.3927 0.0679 0.9690  3 O 2.19-2.27
Cd 0.1073 0.0679 0.4690  3 O 2.19-2.27
Cd 0.8927 0.9321 0.9690  3 O 2.19-2.27
O 0.4113 0.0800 0.6199  3 Cd 2.19-2.27, 1 Sr 2.39
O 0.9113 0.9200 0.6199  3 Cd 2.19-2.27, 1 Sr 2.39
O 0.5887 0.9200 0.1199  3 Cd 2.19-2.27, 1 Sr 2.39
O 0.0887 0.0800 0.1199  3 Cd 2.19-2.27, 1 Sr 2.39
Sr 0.9931 0.6862 0.5804  1 O 2.39
Sr 0.5069 0.6862 0.0804  1 O 2.39
Sr 0.4931 0.3138 0.5804  1 O 2.39
Sr 0.0069 0.3138 0.0804  1 O 2.39

Output
The space group is Pca2_1. Its final energy is -65.52 eV for the cell shown.

***

Record 7
Computed, not measured: a relaxed SrCdTeO crystal at the PBE-GGA level of DFT.

a = 4.3189 Å, b = 4.3189 Å, c = 12.3430 Å
α = 90.00°, β = 90.00°, γ = 90.00°
Last column: nearest neighbours and their distance in Å.
Atoms (fractional coordinates):
O 0.7500 0.2500 0.5000  4 Sr 2.38
O 0.2500 0.7500 0.5000  4 Sr 2.38
Sr 0.2500 0.2500 0.4186  4 O 2.38
Sr 0.7500 0.7500 0.5814  4 O 2.38
Te 0.2500 0.2500 0.1375  5 Cd 3.01-3.08
Te 0.7500 0.7500 0.8625  5 Cd 3.01-3.08
Cd 0.2500 0.2500 0.8935  5 Te 3.01-3.08
Cd 0.7500 0.7500 0.1065  5 Te 3.01-3.08

Output
The space group is P4/nmm. Its final energy is -32.04 eV for the cell shown.

***

Record 8
Computed, not measured: a relaxed Sr2CdTeO6 crystal at the PBE-GGA level of DFT.

a = 5.7725 Å, b = 5.8458 Å, c = 9.9914 Å
α = 90.00°, β = 125.16°, γ = 90.00°
Last column: nearest neighbours and their distance in Å.
Atoms (fractional coordinates):
Sr 0.2385 0.5444 0.7490  6 O 2.49-2.77
Sr 0.7615 0.0444 0.7510  6 O 2.49-2.77
Sr 0.7615 0.4556 0.2510  6 O 2.49-2.77
Sr 0.2385 0.9556 0.2490  6 O 2.49-2.77
O 0.6431 0.4724 0.7294  1 Te 1.94
O 0.2697 0.2732 0.9516  1 Te 1.95
O 0.8143 0.3128 0.5413  1 Te 1.95
O 0.7303 0.7732 0.5484  1 Te 1.95
O 0.3569 0.9724 0.7706  1 Te 1.94
O 0.1857 0.8128 0.9587  1 Te 1.95
O 0.2697 0.2268 0.4516  1 Te 1.95
O 0.3569 0.5276 0.2706  1 Te 1.94
O 0.6431 0.0276 0.2294  1 Te 1.94
O 0.8143 0.1872 0.0413  1 Te 1.95
O 0.1857 0.6872 0.4587  1 Te 1.95
O 0.7303 0.7268 0.0484  1 Te 1.95
Cd 0.0000 0.5000 0.0000  6 O 2.27-2.30
Cd 0.0000 0.0000 0.5000  6 O 2.27-2.30
Te 0.5000 0.5000 0.5000  6 O 1.94-1.95
Te 0.5000 0.0000 0.0000  6 O 1.94-1.95

Output
The space group is P2_1/c. Its final energy is -113.12 eV for the cell shown.

***

Record 9
Computed, not measured: a relaxed SrCdTeO crystal at the PBE-GGA level of DFT.

a = 6.4080 Å, b = 9.4383 Å, c = 13.8460 Å
α = 90.00°, β = 90.00°, γ = 90.00°
Last column: nearest neighbours and their distance in Å.
Atoms (fractional coordinates):
O 0.4966 0.2086 0.2502  2 Cd 2.22, 2 Sr 2.43
O 0.0034 0.7914 0.7502  2 Cd 2.22, 2 Sr 2.43
O 0.9966 0.2914 0.7498  2 Cd 2.22, 2 Sr 2.43
O 0.9966 0.2086 0.2498  2 Cd 2.22, 2 Sr 2.43
O 0.5034 0.7086 0.2498  2 Cd 2.22, 2 Sr 2.43
O 0.4966 0.2914 0.7502  2 Cd 2.22, 2 Sr 2.43
O 0.5034 0.7914 0.7498  2 Cd 2.22, 2 Sr 2.43
O 0.0034 0.7086 0.2502  2 Cd 2.22, 2 Sr 2.43
Sr 0.7468 0.3283 0.1463  2 O 2.43
Sr 0.2532 0.6717 0.8537  2 O 2.43
Sr 0.2468 0.3283 0.3537  2 O 2.43
Sr 0.7532 0.6717 0.6463  2 O 2.43
Sr 0.7468 0.1717 0.6463  2 O 2.43
Sr 0.7532 0.8283 0.1463  2 O 2.43
Sr 0.2468 0.1717 0.8537  2 O 2.43
Sr 0.2532 0.8283 0.3537  2 O 2.43
Te 0.7512 0.8919 0.4590  2 Cd 2.75-2.87
Te 0.2488 0.1081 0.5410  2 Cd 2.75-2.87
Te 0.7488 0.1081 0.9590  2 Cd 2.75-2.87
Te 0.7512 0.6081 0.9590  2 Cd 2.75-2.87
Te 0.7488 0.3919 0.4590  2 Cd 2.75-2.87
Te 0.2512 0.6081 0.5410  2 Cd 2.75-2.87
Te 0.2512 0.8919 0.0410  2 Cd 2.75-2.87
Te 0.2488 0.3919 0.0410  2 Cd 2.75-2.87
Cd 0.7464 0.1341 0.3490  2 O 2.22
Cd 0.2464 0.1341 0.1510  2 O 2.22
Cd 0.7536 0.6341 0.3490  2 O 2.22
Cd 0.2536 0.6341 0.1510  2 O 2.22
Cd 0.2536 0.8659 0.6510  2 O 2.22
Cd 0.7464 0.3659 0.8490  2 O 2.22
Cd 0.2464 0.3659 0.6510  2 O 2.22
Cd 0.7536 0.8659 0.8490  2 O 2.22

Output
The space group is Pbca. Its final energy is -129.59 eV for the cell shown.

***

Record 10
Computed, not measured: a relaxed SrCdTeO crystal at the PBE-GGA level of DFT.

a = 7.5558 Å, b = 3.9887 Å, c = 13.5587 Å
α = 90.00°, β = 90.00°, γ = 90.00°
Last column: nearest neighbours and their distance in Å.
Atoms (fractional coordinates):
O 0.7383 0.7500 0.8584  2 Cd 2.31, 2 Sr 2.38-2.44
O 0.2383 0.7500 0.6416  2 Cd 2.31, 2 Sr 2.38-2.44
O 0.2617 0.2500 0.1416  2 Cd 2.31, 2 Sr 2.38-2.44
O 0.7617 0.2500 0.3584  2 Cd 2.31, 2 Sr 2.38-2.44
Sr 0.0327 0.2500 0.2683  2 O 2.38-2.44
Sr 0.5327 0.2500 0.2317  2 O 2.38-2.44
Sr 0.4673 0.7500 0.7683  2 O 2.38-2.44
Sr 0.9673 0.7500 0.7317  2 O 2.38-2.44
Te 0.3064 0.7500 0.3920  3 Cd 3.05-3.07, 4 Sr 3.33-3.41
Te 0.6936 0.2500 0.6080  3 Cd 3.05-3.07, 4 Sr 3.33-3.41
Te 0.1936 0.2500 0.8920  3 Cd 3.05-3.07, 4 Sr 3.33-3.41
Te 0.8064 0.7500 0.1080  3 Cd 3.05-3.07, 4 Sr 3.33-3.41
Cd 0.2040 0.7500 0.0622  2 O 2.31
Cd 0.7960 0.2500 0.9378  2 O 2.31
Cd 0.2960 0.2500 0.5622  2 O 2.31
Cd 0.7040 0.7500 0.4378  2 O 2.31

Output
The space group is Pnma. Its final energy is -63.65 eV for the cell shown.

***

Record 11
Computed, not measured: a relaxed SrCdTeO crystal at the PBE-GGA level of DFT.

a = 4.0282 Å, b = 4.0282 Å, c = 11.5639 Å
α = 90.00°, β = 90.00°, γ = 90.00°
Last column: nearest neighbours and their distance in Å.
Atoms (fractional coordinates):
Te 0.7500 0.7500 0.8052  1 O 2.50
Te 0.2500 0.2500 0.1948  1 O 2.50
Sr 0.7500 0.7500 0.3868  1 O 2.34
Sr 0.2500 0.2500 0.6132  1 O 2.34
O 0.2500 0.2500 0.4107  1 Sr 2.34, 1 Te 2.50
O 0.7500 0.7500 0.5893  1 Sr 2.34, 1 Te 2.50
Cd 0.2500 0.7500 0.0000  4 Cd 2.85, 4 Te 3.02
Cd 0.7500 0.2500 0.0000  4 Cd 2.85, 4 Te 3.02

Output
The space group is P4/nmm. Its final energy is -31.16 eV for the cell shown.

***

Record 12
Computed, not measured: a relaxed SrCdTeO crystal at the PBE-GGA level of DFT.

a = 4.4383 Å, b = 4.4383 Å, c = 9.7702 Å
α = 90.00°, β = 90.00°, γ = 90.00°
Last column: nearest neighbours and their distance in Å.
Atoms (fractional coordinates):
Cd 0.2500 0.2500 0.4238  4 O 2.34
Cd 0.7500 0.7500 0.5762  4 O 2.34
Sr 0.7500 0.7500 0.2299  5 Te 3.27-3.57, 1 Cd 3.38, 4 O 3.45
Sr 0.2500 0.2500 0.7701  5 Te 3.27-3.57, 1 Cd 3.38, 4 O 3.45
O 0.2500 0.7500 0.5000  4 Cd 2.34
O 0.7500 0.2500 0.5000  4 Cd 2.34
Te 0.2500 0.2500 0.1357  1 Cd 2.82
Te 0.7500 0.7500 0.8643  1 Cd 2.82

Output
The space group is P4/nmm. Its final energy is -31.36 eV for the cell shown.

***

- Number 11 is which compound?
  SrCdTeO